Record 1
DFT (PBE) results for an optimized crystal structure of Ba2PbO3.

Computed properties:
volume: 143 Å³/f.u.
formation energy (no corrections): -2037 meV/atom
excess energy over the best structure of this formula in the dataset: 0.000 eV per atom

```
data_Ba2PbO3
_chemical_formula_sum 'Ba4 Pb2 O6'
_space_group_name_H-M_alt 'P -1'
_space_group_IT_number 2
_cell_length_a 6.152
_cell_length_b 6.695
_cell_length_c 7.266
_cell_angle_alpha 90.08
_cell_angle_beta 105.48
_cell_angle_gamma 97.20
loop_
_space_group_symop_operation_xyz
'x,y,z'
'-x,-y,-z'
loop_
_atom_site_label
_atom_site_type_symbol
_atom_site_fract_x
_atom_site_fract_y
_atom_site_fract_z
Ba1 Ba 0.106 0.264 0.126
Ba2 Ba 0.201 0.794 0.503
Pb1 Pb 0.389 0.297 0.765
O1 O 0.114 0.488 0.748
O2 O 0.136 0.041 0.796
O3 O 0.351 0.209 0.464
```



Record 2
DFT (PBE) results for an optimized crystal structure of Ba12Pb5O2.

Computed properties:
volume: 913 Å³/f.u.
formation energy (no corrections): -802 meV/atom

```
data_Ba12Pb5O2
_chemical_formula_sum 'Ba24 Pb10 O4'
_space_group_name_H-M_alt 'C 1 2/m 1'
_space_group_IT_number 12
_cell_length_a 18.006
_cell_length_b 9.550
_cell_length_c 11.247
_cell_angle_alpha 90.00
_cell_angle_beta 109.16
_cell_angle_gamma 90.00
loop_
_space_group_symop_operation_xyz
'x,y,z'
'-x,-y,-z'
'-x,y,-z'
'x,-y,z'
'x+1/2,y+1/2,z'
'-x+1/2,-y+1/2,-z'
'-x+1/2,y+1/2,-z'
'x+1/2,-y+1/2,z'
loop_
_atom_site_label
_atom_site_type_symbol
_atom_site_fract_x
_atom_site_fract_y
_atom_site_fract_z
Ba1 Ba 0.021 0.000 0.199
Ba2 Ba 0.030 0.500 0.686
Ba3 Ba 0.137 0.216 0.551
Ba4 Ba 0.167 0.264 0.087
Pb1 Pb 0.000 0.500 0.000
Pb2 Pb 0.171 0.000 0.839
Pb3 Pb 0.225 0.000 0.345
O1 O 0.000 0.327 0.500
```



Record 3
DFT (PBE) results for an optimized crystal structure of Ba2PbO.

Computed properties:
volume: 133 Å³/f.u.
formation energy (no corrections): -538 meV/atom
excess energy over the best structure of this formula in the dataset: 0.810 eV per atom

```
data_Ba2PbO
_chemical_formula_sum 'Ba8 Pb4 O4'
_space_group_name_H-M_alt 'F m -3 m'
_space_group_IT_number 225
_space_group_name_Hall '-F 4 2 3'
_cell_length_a 8.111
_cell_length_b 8.111
_cell_length_c 8.111
_cell_angle_alpha 90.00
_cell_angle_beta 90.00
_cell_angle_gamma 90.00
loop_
_atom_site_label
_atom_site_type_symbol
_atom_site_fract_x
_atom_site_fract_y
_atom_site_fract_z
Ba1 Ba 0.250 0.250 0.250
Pb1 Pb 0.000 0.000 0.000
O1 O 0.000 0.000 0.500
```



Record 4
DFT (PBE) results for an optimized crystal structure of BaPbO2.

Computed properties:
volume: 100 Å³/f.u.
formation energy (no corrections): -1681 meV/atom

```
data_BaPbO2
_chemical_formula_sum 'Ba4 Pb4 O8'
_space_group_name_H-M_alt 'I -4 2 d'
_space_group_IT_number 122
_space_group_name_Hall 'I -4 2bw'
_cell_length_a 5.805
_cell_length_b 5.805
_cell_length_c 11.810
_cell_angle_alpha 90.00
_cell_angle_beta 90.00
_cell_angle_gamma 90.00
loop_
_atom_site_label
_atom_site_type_symbol
_atom_site_fract_x
_atom_site_fract_y
_atom_site_fract_z
Ba1 Ba 0.000 0.000 0.000
Pb1 Pb 0.000 0.000 0.500
O1 O 0.229 0.250 0.625
```



Record 5
DFT (PBE) results for an optimized crystal structure of Ba4PbO5.

Computed properties:
volume: 215 Å³/f.u.
formation energy (no corrections): -2208 meV/atom

```
data_Ba4PbO5
_chemical_formula_sum 'Ba8 Pb2 O10'
_space_group_name_H-M_alt 'I 4'
_space_group_IT_number 79
_cell_length_a 8.724
_cell_length_b 8.724
_cell_length_c 5.648
_cell_angle_alpha 90.00
_cell_angle_beta 90.00
_cell_angle_gamma 90.00
loop_
_space_group_symop_operation_xyz
'x,y,z'
'-y,x,z'
'-x,-y,z'
'y,-x,z'
'x+1/2,y+1/2,z+1/2'
'-y+1/2,x+1/2,z+1/2'
'-x+1/2,-y+1/2,z+1/2'
'y+1/2,-x+1/2,z+1/2'
loop_
_atom_site_label
_atom_site_type_symbol
_atom_site_fract_x
_atom_site_fract_y
_atom_site_fract_z
Ba1 Ba 0.104 0.701 0.000
Pb1 Pb 0.000 0.000 0.513
O1 O 0.000 0.000 0.903
O2 O 0.099 0.698 0.501
```



Record 6
DFT (PBE) results for an optimized crystal structure of Ba3PbO5.

Computed properties:
volume: 178 Å³/f.u.
formation energy (no corrections): -1992 meV/atom

```
data_Ba3PbO5
_chemical_formula_sum 'Ba12 Pb4 O20'
_space_group_name_H-M_alt 'I 4/m c m'
_space_group_IT_number 140
_space_group_name_Hall '-I 4 2c'
_cell_length_a 7.443
_cell_length_b 7.443
_cell_length_c 12.880
_cell_angle_alpha 90.00
_cell_angle_beta 90.00
_cell_angle_gamma 90.00
loop_
_atom_site_label
_atom_site_type_symbol
_atom_site_fract_x
_atom_site_fract_y
_atom_site_fract_z
Ba1 Ba 0.000 0.000 0.250
Ba2 Ba 0.181 0.319 0.000
Pb1 Pb 0.000 0.500 0.250
O1 O 0.000 0.000 0.000
O2 O 0.153 0.347 0.352
```



Record 7
DFT (PBE) results for an optimized crystal structure of Ba2PbO.

Computed properties:
volume: 134 Å³/f.u.
formation energy (no corrections): -1088 meV/atom
excess energy over the best structure of this formula in the dataset: 0.259 eV per atom

```
data_Ba2PbO
_chemical_formula_sum 'Ba6 Pb3 O3'
_space_group_name_H-M_alt 'R -3 m'
_space_group_IT_number 166
_space_group_name_Hall '-R 3 2"'
_cell_length_a 3.9103
_cell_length_b 3.9103
_cell_length_c 30.4401
_cell_angle_alpha 90.00
_cell_angle_beta 90.00
_cell_angle_gamma 120.00
loop_
_atom_site_label
_atom_site_type_symbol
_atom_site_fract_x
_atom_site_fract_y
_atom_site_fract_z
Ba1 Ba 0.0000 0.0000 0.1159
Pb1 Pb 0.0000 0.0000 0.0000
O1 O 0.0000 0.0000 0.5000
```



Record 8
DFT (PBE) results for an optimized crystal structure of BaPbO2.

Computed properties:
volume: 80 Å³/f.u.
formation energy (no corrections): -1638 meV/atom

```
data_BaPbO2
_chemical_formula_sum 'Ba3 Pb3 O6'
_space_group_name_H-M_alt 'R 3 m'
_space_group_IT_number 160
_space_group_name_Hall 'R 3 -2"'
_cell_length_a 3.7539
_cell_length_b 3.7539
_cell_length_c 19.5999
_cell_angle_alpha 90.00
_cell_angle_beta 90.00
_cell_angle_gamma 120.00
loop_
_atom_site_label
_atom_site_type_symbol
_atom_site_fract_x
_atom_site_fract_y
_atom_site_fract_z
Ba1 Ba 0.0000 0.0000 0.0000
Pb1 Pb 0.0000 0.0000 0.1704
O1 O 0.0000 0.0000 0.5844
O2 O 0.0000 0.0000 0.7546
```



Record 9
DFT (PBE) results for an optimized crystal structure of Ba3Pb2O7.

Computed properties:
volume: 216 Å³/f.u.
formation energy (no corrections): -1751 meV/atom
excess energy over the best structure of this formula in the dataset: 0.093 eV per atom

```
data_Ba3Pb2O7
_chemical_formula_sum 'Ba6 Pb4 O14'
_space_group_name_H-M_alt 'C m m m'
_space_group_IT_number 65
_space_group_name_Hall '-C 2 2'
_cell_length_a 4.401
_cell_length_b 22.859
_cell_length_c 4.296
_cell_angle_alpha 90.00
_cell_angle_beta 90.00
_cell_angle_gamma 90.00
loop_
_atom_site_label
_atom_site_type_symbol
_atom_site_fract_x
_atom_site_fract_y
_atom_site_fract_z
Ba1 Ba 0.000 0.000 0.000
Ba2 Ba 0.000 0.178 0.000
Pb1 Pb 0.000 0.404 0.500
O1 O 0.000 0.094 0.500
O2 O 0.000 0.309 0.500
O3 O 0.000 0.404 0.000
O4 O 0.000 0.500 0.500
```



Record 10
DFT (PBE) results for an optimized crystal structure of Ba4Pb2O.

Computed properties:
volume: 293 Å³/f.u.
formation energy (no corrections): -1073 meV/atom
excess energy over the best structure of this formula in the dataset: 0.000 eV per atom

```
data_Ba4Pb2O
_chemical_formula_sum 'Ba8 Pb4 O2'
_space_group_name_H-M_alt 'P 1 21/m 1'
_space_group_IT_number 11
_cell_length_a 8.579
_cell_length_b 7.828
_cell_length_c 9.014
_cell_angle_alpha 90.00
_cell_angle_beta 104.23
_cell_angle_gamma 90.00
loop_
_space_group_symop_operation_xyz
'x,y,z'
'-x,-y,-z'
'-x,y+1/2,-z'
'x,-y+1/2,z'
loop_
_atom_site_label
_atom_site_type_symbol
_atom_site_fract_x
_atom_site_fract_y
_atom_site_fract_z
Ba1 Ba 0.085 0.250 0.380
Ba2 Ba 0.269 0.005 0.060
Ba3 Ba 0.415 0.750 0.571
Pb1 Pb 0.010 0.750 0.244
Pb2 Pb 0.373 0.250 0.744
O1 O 0.314 0.250 0.246
```



Record 11
DFT (PBE) results for an optimized crystal structure of BaPbO2.

Computed properties:
volume: 84 Å³/f.u.
formation energy (no corrections): -1824 meV/atom

```
data_BaPbO2
_chemical_formula_sum 'Ba4 Pb4 O8'
_space_group_name_H-M_alt 'C 1 2/c 1'
_space_group_IT_number 15
_cell_length_a 8.000
_cell_length_b 7.929
_cell_length_c 6.547
_cell_angle_alpha 90.00
_cell_angle_beta 126.11
_cell_angle_gamma 90.00
loop_
_space_group_symop_operation_xyz
'x,y,z'
'-x,-y,-z'
'-x,y,-z+1/2'
'x,-y,z+1/2'
'x+1/2,y+1/2,z'
'-x+1/2,-y+1/2,-z'
'-x+1/2,y+1/2,-z+1/2'
'x+1/2,-y+1/2,z+1/2'
loop_
_atom_site_label
_atom_site_type_symbol
_atom_site_fract_x
_atom_site_fract_y
_atom_site_fract_z
Ba1 Ba 0.000 0.132 0.250
Pb1 Pb 0.000 0.388 0.750
O1 O 0.212 0.424 0.256
```



Record 12
DFT (PBE) results for an optimized crystal structure of Ba2PbO.

Computed properties:
volume: 148 Å³/f.u.
formation energy (no corrections): -1348 meV/atom
excess energy over the best structure of this formula in the dataset: 0.000 eV per atom

```
data_Ba2PbO
_chemical_formula_sum 'Ba8 Pb4 O4'
_space_group_name_H-M_alt 'I -4 2 d'
_space_group_IT_number 122
_space_group_name_Hall 'I -4 2bw'
_cell_length_a 7.890
_cell_length_b 7.890
_cell_length_c 9.512
_cell_angle_alpha 90.00
_cell_angle_beta 90.00
_cell_angle_gamma 90.00
loop_
_atom_site_label
_atom_site_type_symbol
_atom_site_fract_x
_atom_site_fract_y
_atom_site_fract_z
Ba1 Ba 0.139 0.250 0.125
Pb1 Pb 0.000 0.000 0.500
O1 O 0.000 0.000 0.000
```



Number 1 is which compound?
Ba2PbO3